PrMoO4F (PBE with a Hubbard U, relaxed); DFT total energy = -7.38 eV/atom; SG = P2_1/c (14); crystal system = monoclinic
1.0
-4.4039 3.1909 -3.8516
-4.9397 -0.7852 4.9976
-0.6185 7.4923 6.9143
Pr Mo O F
4 4 16 4
direct
0.6276 0.8033 0.4221 Pr
0.8724 0.8033 0.9221 Pr
0.3724 0.1967 0.5779 Pr
0.1276 0.1967 0.0779 Pr
0.6370 0.3342 0.8351 Mo
0.8630 0.3342 0.3351 Mo
0.3630 0.6658 0.1649 Mo
0.1370 0.6658 0.6649 Mo
0.6642 0.5549 0.8708 O
0.8358 0.5549 0.3708 O
0.3358 0.4451 0.1292 O
0.1642 0.4451 0.6292 O
0.9045 0.7836 0.5857 O
0.5955 0.7836 0.0857 O
0.0955 0.2164 0.4143 O
0.4045 0.2164 0.9143 O
0.6056 0.4401 0.6376 O
0.8944 0.4401 0.1376 O
0.3944 0.5599 0.3624 O
0.1056 0.5599 0.8624 O
0.8570 0.1651 0.9187 O
0.6430 0.1651 0.4187 O
0.1430 0.8349 0.0813 O
0.3570 0.8349 0.5813 O
0.8831 0.0157 0.2617 F
0.6169 0.0157 0.7617 F
0.1169 0.9843 0.7383 F
0.3831 0.9843 0.2383 F